No. 1
Compound: LaOsN3
Source: the Alexandria database
Functional: PBE
Structure: relaxed

Summary:
- E: -8.56 eV/atom
- E_form (uncorrected): -333.6 meV/atom
- Crystal system: monoclinic

abc: 3.8713 5.5968 6.2545
angles: 90.00 96.68 90.00
Fractional positions:
La1 0.0361 0.2500 0.2550
La2 0.9639 0.7500 0.7450
Os1 0.4624 0.2500 0.8192
Os2 0.5376 0.7500 0.1808
N1 0.0377 0.7500 0.1637
N2 0.4041 0.5058 0.5780
N3 0.4041 0.9942 0.5780
N4 0.5959 0.0058 0.4220
N5 0.5959 0.4942 0.4220
N6 0.9623 0.2500 0.8363

---

No. 2
Compound: LaOsN3
Source: the Alexandria database
Functional: PBE
Structure: relaxed

Summary:
- E: -8.54 eV/atom
- E_form (uncorrected): -317.9 meV/atom
- Crystal system: orthorhombic

abc: 4.1167 7.5442 7.5442
angles: 135.30 90.00 90.00
Fractional positions:
La1 0.2500 0.1220 0.8780
La2 0.7500 0.8780 0.1220
Os1 0.2500 0.4406 0.5511
Os2 0.7500 0.5511 0.4406
N1 0.2500 0.1158 0.2437
N2 0.2500 0.5325 0.8480
N3 0.2500 0.5686 0.0359
N4 0.7500 0.0359 0.5686
N5 0.7500 0.2437 0.1158
N6 0.7500 0.8480 0.5325

---

No. 3
Compound: LaOsN3
Source: the Alexandria database
Functional: PBE
Structure: relaxed

Summary:
- E: -8.60 eV/atom
- E_form (uncorrected): -378.3 meV/atom
- Crystal system: monoclinic

abc: 3.8348 4.7644 7.4069
angles: 90.00 97.03 90.00
Fractional positions:
La1 0.0803 0.2500 0.2871
La2 0.9197 0.7500 0.7129
Os1 0.4843 0.2500 0.9065
Os2 0.5157 0.7500 0.0935
N1 0.0147 0.7500 0.0928
N2 0.2971 0.7500 0.4652
N3 0.4611 0.2500 0.6316
N4 0.5389 0.7500 0.3684
N5 0.7029 0.2500 0.5348
N6 0.9853 0.2500 0.9072